This record from the Alexandria database describes crystalline Mn4Fe3Co at its relaxed geometry. The functional is PBE-GGA.

For the formation energy, the calculation gives 24.9 meV/atom. Its magnetization is 0.82 μB/cell.

The structure belongs to space group P2/m (No. 10); the cell edges are 4.994, 3.551 and 5.566 Å and the angles 90.00°, 116.36° and 90.00°. The distinct sites, in fractional coordinates, are Mn at (0.132, 0.000, 0.259), Mn at (0.252, 0.500, 0.001), Fe at (0.000, 0.500, 0.500), Fe at (0.378, 0.000, 0.750) and Co at (0.500, 0.500, 0.500).

---

This record from the Alexandria database describes crystalline NbCdPt3 at its relaxed geometry. The functional is PBE-GGA.

The relative energy among the computed polymorphs is 0 meV per atom. For the formation energy, the calculation gives 744.2 meV/atom. Its magnetization is 0.00 μB/cell.

The structure belongs to space group Pm-3m (No. 221); the cell edges are 4.904, 4.904 and 4.904 Å and the angles 90.00°, 90.00° and 90.00°. The distinct sites, in fractional coordinates, are Nb at (0.000, 0.000, 0.000), Cd at (0.500, 0.500, 0.500) and Pt at (0.000, 0.000, 0.500).

---

This record from the Alexandria database describes crystalline Na3ReO6 at its relaxed geometry. The functional is PBE-GGA.

For the formation energy without anion corrections, the calculation gives -1.357 eV/atom. The relative energy among the computed polymorphs is 0 meV per atom. Its magnetization is 4.00 μB/cell.

The structure belongs to space group P2_1/c (No. 14); the cell edges are 5.689, 5.894 and 9.927 Å and the angles 90.00°, 124.75° and 90.00°. The distinct sites, in fractional coordinates, are Na at (0.000, 0.000, 0.000), Na at (0.224, 0.051, 0.747), Re at (0.500, 0.000, 0.500), O at (0.190, 0.185, 0.449), O at (0.258, 0.743, 0.426) and O at (0.406, 0.047, 0.287).

---

Number 3 is which compound?
Na3ReO6

---

Which value of magnetization does entry 2 give?
0.00 μB/cell

---

Among the records above, which one has the lowest magnetization?
NbCdPt3